1.
First-principles (GGA-PBE) data for a relaxed structure of RbNdAg3S4, as listed in OQMD via LeMat-Bulk.

Results
The value obtained for the energy is -3.996 eV/atom. The calculated volume is 283.03 Å³/cell. For the total magnetization, the calculation gives 0.03 μB/cell.

a b c (Å): 6.566 6.566 6.566
angles (deg): 90.00 90.00 90.00
Sites, in units of the cell vectors:
1 Rb 0.000 0.000 0.000
2 Nd 0.500 0.500 0.500
3 Ag 0.000 0.500 0.500
4 Ag 0.500 0.000 0.500
5 Ag 0.500 0.500 0.000
6 S 0.270 0.270 0.270
7 S 0.270 0.730 0.730
8 S 0.730 0.270 0.730
9 S 0.730 0.730 0.270

2.
First-principles (GGA-PBE) data for a relaxed structure of ZnAsIr2, as listed in OQMD via LeMat-Bulk.

Results
The value obtained for the energy is -5.625 eV/atom. The calculated volume is 61.07 Å³/cell. For the total magnetization, the calculation gives 0.13 μB/cell.

a b c (Å): 4.420 4.420 4.420
angles (deg): 60.00 60.00 60.00
Sites, in units of the cell vectors:
1 Zn 0.000 0.000 0.000
2 As 0.750 0.750 0.750
3 Ir 0.250 0.250 0.250
4 Ir 0.500 0.500 0.500

3.
First-principles (GGA-PBE) data for a relaxed structure of Si2NiMo2, as listed in OQMD via LeMat-Bulk.

Results
The value obtained for the energy is -7.443 eV/atom. The calculated volume is 72.24 Å³/cell. For the total magnetization, the calculation gives 0.00 μB/cell.

a b c (Å): 6.603 6.603 6.603
angles (deg): 149.90 149.90 43.09
Sites, in units of the cell vectors:
1 Si 0.250 0.750 0.500
2 Si 0.750 0.250 0.500
3 Ni 0.000 0.000 0.000
4 Mo 0.399 0.399 0.000
5 Mo 0.601 0.601 0.000

Question: Among the records above, which one has the highest energy?
Answer: RbNdAg3S4